No. 1
Entry from Alexandria: Nd2HoAu after structural relaxation (PBE-GGA).

```
Nd2HoAu
1.0
-3.0773 0.7466 1.9868
-2.0816 -0.3780 -3.0820
-0.9418 -8.2750 1.6510
Nd Au Ho
2 1 1
Direct
0.0000 0.0000 0.7870
0.0000 0.0000 0.2130
0.5000 0.5000 0.0000
0.5000 0.5000 0.5000
```

Output
Density   9.10 Mg/m³
E above lowest polymorph   62 meV/atom
Fermi-level density of states   1.507 states/eV per atom
E_form   -0.3398 eV/atom

=====

No. 2
Entry from Alexandria: Zr2TlH after structural relaxation (PBE-GGA).

```
Zr2TlH
1.0
-0.6697 1.9548 5.2983
5.0701 -2.1418 1.4311
4.4375 4.3068 2.0240
H Tl Zr
2 2 4
Direct
0.5000 0.5000 0.0000
0.2500 0.7500 0.5000
0.0000 0.0000 0.0000
0.7500 0.2500 0.5000
0.3642 0.1250 0.2500
0.3858 0.6250 0.2500
0.3750 0.6358 0.7500
0.8750 0.6142 0.7500
```

Output
Density   7.79 Mg/m³
E above lowest polymorph   371 meV/atom
Fermi-level density of states   0.560 states/eV per atom

=====

No. 3
Entry from Alexandria: Pm3Pd2Au after structural relaxation (PBE-GGA).

```
Pm3Pd2Au
1.0
3.6936 0.0000 -1.1684
0.0000 4.6445 0.0000
0.5629 0.0000 8.2017
Pm Pd Au
3 2 1
Direct
0.3394 0.0000 0.6788
0.6606 0.0000 0.3212
0.5000 0.5000 0.0000
0.1813 0.5000 0.3627
0.8187 0.5000 0.6373
0.0000 0.0000 0.0000
```

Output
Density   9.76 Mg/m³
E above lowest polymorph   128 meV/atom
Fermi-level density of states   0.814 states/eV per atom
E_form   -0.6400 eV/atom

=====

No. 4
Entry from Alexandria: NdAsPbO5 after structural relaxation (PBE-GGA).

```
NdAsPbO5
1.0
-1.0289 5.3103 3.1631
-4.4774 -4.1267 1.4787
6.5949 -3.0556 3.6174
Nd As Pb O
2 2 2 10
Direct
0.0000 0.0000 0.5000
0.0000 0.0000 0.0000
0.6833 0.3167 0.2500
0.3167 0.6833 0.7500
0.3125 0.6875 0.2500
0.6875 0.3125 0.7500
0.1001 0.8999 0.2500
0.8999 0.1001 0.7500
0.8975 0.3267 0.1427
0.1025 0.6733 0.8573
0.6733 0.1025 0.3573
0.3267 0.8975 0.6427
0.7563 0.5826 0.4105
0.2437 0.4174 0.5895
0.4174 0.2437 0.0895
0.5826 0.7563 0.9105
```

Output
Density   6.05 Mg/m³
Fermi-level density of states   0.000 states/eV per atom
Formation energy (no corrections)   -188 kJ/mol of atoms

=====

No. 5
Entry from Alexandria: DySc2O after structural relaxation (PBE-GGA).

```
DySc2O
1.0
3.2796 0.0000 0.0000
1.6398 2.8402 0.0000
1.6398 0.9467 8.2884
Sc O Dy
2 1 1
Direct
0.2830 0.2830 0.1511
0.7170 0.7170 0.8489
0.0000 0.0000 0.0000
0.5000 0.5000 0.5000
```

Output
Density   5.77 Mg/m³
E above lowest polymorph   0 meV/atom
Fermi-level density of states   1.182 states/eV per atom
Formation energy (no corrections)   -135 kJ/mol of atoms

=====

No. 6
Entry from Alexandria: NaCd3Pb12 after structural relaxation (PBE-GGA).

```
NaCd3Pb12
1.0
-3.0591 -3.7566 0.2435
3.7599 -3.0645 -0.0415
0.7776 0.6798 20.2566
Na Cd Pb
1 3 12
Direct
0.0000 0.0000 0.0000
0.0000 0.0000 0.2512
0.0000 0.0000 0.5000
0.0000 0.0000 0.7488
0.5000 0.5000 0.0000
0.5000 0.5000 0.2494
0.5000 0.5000 0.5000
0.5000 0.5000 0.7506
0.5000 0.0000 0.1258
0.5000 0.0000 0.3755
0.5000 0.0000 0.6245
0.5000 0.0000 0.8742
0.0000 0.5000 0.1258
0.0000 0.5000 0.3755
0.0000 0.5000 0.6245
0.0000 0.5000 0.8742
```

Output
Density   9.90 Mg/m³
Fermi-level density of states   0.578 states/eV per atom
E_form   0.0023 eV/atom

=====

No. 7
Entry from Alexandria: Ca3ErPa2P6 after structural relaxation (PBE-GGA).

```
Ca3ErPa2P6
1.0
7.0185 -0.0003 0.0011
-3.5078 6.0791 0.0011
-1.1704 -2.0265 6.6293
Ca Er Pa P
3 1 2 6
Direct
0.1653 0.8347 0.5000
0.8347 0.1653 0.5000
0.5000 0.5000 0.5000
0.0000 0.0000 0.0000
0.3331 0.6669 0.0000
0.6669 0.3331 0.0000
0.9234 0.5839 0.7703
0.7373 0.7373 0.2305
0.0766 0.4161 0.2297
0.5839 0.9234 0.7703
0.2627 0.2627 0.7695
0.4161 0.0766 0.2297
```

Output
Density   5.49 Mg/m³
Fermi-level density of states   0.462 states/eV per atom
E_form   -1.3236 eV/atom

=====

No. 8
Entry from Alexandria: LiPt2Br after structural relaxation (PBE-GGA).

```
LiPt2Br
1.0
-1.8946 -1.6563 -3.7791
3.0967 -3.3190 -0.0978
-1.9029 -1.8272 1.7548
Br Li Pt
1 1 2
Direct
0.5000 0.0000 0.5000
0.0000 0.5000 0.5000
0.0000 0.0000 0.0000
0.5000 0.5000 0.0000
```

Output
Density   12.13 Mg/m³
E above lowest polymorph   458 meV/atom
Fermi-level density of states   0.166 states/eV per atom
Formation energy (no corrections)   22 kJ/mol of atoms

=====

Question: What is the Fermi-level density of states in the fifth record?
Answer: 1.182 states/eV per atom

=====

Question: The lowest Fermi-level density of states belongs to which entry?
Answer: NdAsPbO5

=====

Question: Look up the density of the seventh one.
Answer: 5.49 Mg/m³

=====

Copy entry 5 word for word.
Entry from Alexandria: DySc2O after structural relaxation (PBE-GGA).

```
DySc2O
1.0
3.2796 0.0000 0.0000
1.6398 2.8402 0.0000
1.6398 0.9467 8.2884
Sc O Dy
2 1 1
Direct
0.2830 0.2830 0.1511
0.7170 0.7170 0.8489
0.0000 0.0000 0.0000
0.5000 0.5000 0.5000
```

Output
Density   5.77 Mg/m³
E above lowest polymorph   0 meV/atom
Fermi-level density of states   1.182 states/eV per atom
Formation energy (no corrections)   -135 kJ/mol of atoms